The following is a PBE calculation of a relaxed structure of InCu, from Alexandria.

Summary:
- space group = Pm-3n
- DFT formation energy (kJ per mole of atoms) = 56

Unit cell a=7.3622 b=7.3622 c=7.3622 alpha=90.00 beta=90.00 gamma=90.00
Last column: nearest neighbours and their distance in Å.
Sites, in units of the cell vectors:
1 In 0.2500 0.0000 0.5000  4 Cu 2.60
2 In 0.7500 0.0000 0.5000  4 Cu 2.60
3 In 0.0000 0.5000 0.7500  4 Cu 2.60
4 In 0.0000 0.5000 0.2500  4 Cu 2.60
5 In 0.5000 0.7500 0.0000  4 Cu 2.60
6 In 0.5000 0.2500 0.0000  4 Cu 2.60
7 Cu 0.5000 0.0000 0.2500  4 In 2.60
8 Cu 0.5000 0.0000 0.7500  4 In 2.60
9 Cu 0.7500 0.5000 0.0000  4 In 2.60
10 Cu 0.0000 0.7500 0.5000  4 In 2.60
11 Cu 0.0000 0.2500 0.5000  4 In 2.60
12 Cu 0.2500 0.5000 0.0000  4 In 2.60



The following is a PBE calculation of a relaxed structure of InCu2, from Alexandria.

Summary:
- space group = Fm-3m
- DFT formation energy (kJ per mole of atoms) = 34

Unit cell a=4.2990 b=4.2990 c=4.2990 alpha=60.00 beta=60.00 gamma=60.00
Last column: nearest neighbours and their distance in Å.
Sites, in units of the cell vectors:
1 Cu 0.7500 0.7500 0.7500  4 In 2.63
2 Cu 0.2500 0.2500 0.2500  4 In 2.63
3 In 0.0000 0.0000 0.0000  8 Cu 2.63



The following is a PBE calculation of a relaxed structure of In6Cu7, from Alexandria.

Summary:
- space group = R-3m
- DFT formation energy (kJ per mole of atoms) = 6

Unit cell a=10.3593 b=10.3593 c=10.3593 alpha=28.80 beta=28.80 gamma=28.80
Last column: nearest neighbours and their distance in Å.
Sites, in units of the cell vectors:
1 In 0.9468 0.9468 0.9468  6 Cu 2.88, 5 In 2.99-3.21
2 In 0.1537 0.1537 0.1537  12 Cu 2.90-3.09, 4 In 2.99-3.07
3 In 0.8463 0.8463 0.8463  12 Cu 2.90-3.09, 4 In 2.99-3.07
4 In 0.0532 0.0532 0.0532  6 Cu 2.88, 5 In 2.99-3.21
5 In 0.3210 0.3210 0.3210  3 Cu 2.91, 6 In 3.06-3.21
6 In 0.6790 0.6790 0.6790  3 Cu 2.91, 6 In 3.06-3.21
7 Cu 0.4044 0.4044 0.9021  5 Cu 2.56-2.59
8 Cu 0.0979 0.5956 0.5956  5 Cu 2.56-2.59
9 Cu 0.5956 0.0979 0.5956  5 Cu 2.56-2.59
10 Cu 0.5956 0.5956 0.0979  5 Cu 2.56-2.59
11 Cu 0.9021 0.4044 0.4044  5 Cu 2.56-2.59
12 Cu 0.4044 0.9021 0.4044  5 Cu 2.56-2.59
13 Cu 0.5000 0.5000 0.5000  6 Cu 2.56



The following is a PBE calculation of a relaxed structure of InCu2, from Alexandria.

Summary:
- space group = C2/m
- DFT formation energy (kJ per mole of atoms) = 6

Unit cell a=5.3762 b=5.3762 c=6.6340 alpha=68.64 beta=68.64 gamma=31.90
Last column: nearest neighbours and their distance in Å.
Sites, in units of the cell vectors:
1 In 0.3126 0.3126 0.9291  8 Cu 2.74-2.97, 2 In 2.95
2 In 0.6318 0.6318 0.6821  8 Cu 2.74-2.97, 2 In 2.95
3 Cu 0.6260 0.6260 0.2723  6 Cu 2.54-2.65, 3 In 2.74-2.79
4 Cu 0.0098 0.0098 0.0777  5 Cu 2.54-2.82
5 Cu 0.9347 0.9347 0.5334  5 Cu 2.54-2.82
6 Cu 0.3184 0.3184 0.3388  6 Cu 2.54-2.65, 3 In 2.74-2.79



The following is a PBE calculation of a relaxed structure of InCu, from Alexandria.

Summary:
- space group = P-3m1
- DFT formation energy (kJ per mole of atoms) = 21

Unit cell a=3.2000 b=3.2000 c=8.6851 alpha=90.00 beta=90.00 gamma=120.00
Last column: nearest neighbours and their distance in Å.
Sites, in units of the cell vectors:
1 Cu 0.0000 0.0000 0.0294  3 Cu 2.48, 3 In 2.78
2 Cu 0.6667 0.3333 0.2206  3 Cu 2.48, 3 In 2.78
3 In 0.6667 0.3333 0.7901  3 Cu 2.78
4 In 0.0000 0.0000 0.4599  3 Cu 2.78



The following is a PBE calculation of a relaxed structure of InCu, from Alexandria.

Summary:
- space group = R-3m
- DFT formation energy (kJ per mole of atoms) = 10

Unit cell a=5.3881 b=5.3881 c=5.3881 alpha=46.94 beta=46.94 gamma=46.94
Last column: nearest neighbours and their distance in Å.
Sites, in units of the cell vectors:
1 Cu 0.3134 0.3134 0.3134  3 Cu 2.54, 3 In 2.76
2 Cu 0.6866 0.6866 0.6866  3 Cu 2.54, 3 In 2.76
3 In 0.8956 0.8956 0.8956  7 Cu 2.76-3.05, 4 In 3.00-3.06
4 In 0.1044 0.1044 0.1044  7 Cu 2.76-3.05, 4 In 3.00-3.06



The following is a PBE calculation of a relaxed structure of In2Cu, from Alexandria.

Summary:
- space group = Fd-3m
- DFT formation energy (kJ per mole of atoms) = 58

Unit cell a=5.9453 b=5.9453 c=5.9453 alpha=60.00 beta=60.00 gamma=60.00
Last column: nearest neighbours and their distance in Å.
Sites, in units of the cell vectors:
1 Cu 0.7500 0.7500 0.7500  12 In 3.49, 4 Cu 3.64
2 Cu 0.5000 0.5000 0.5000  12 In 3.49, 4 Cu 3.64
3 In 0.1250 0.6250 0.1250  6 In 2.97
4 In 0.1250 0.1250 0.6250  6 In 2.97
5 In 0.1250 0.1250 0.1250  6 In 2.97
6 In 0.6250 0.1250 0.1250  6 In 2.97



The following is a PBE calculation of a relaxed structure of In2Cu, from Alexandria.

Summary:
- space group = Cmcm
- DFT formation energy (kJ per mole of atoms) = 8

Unit cell a=8.9823 b=8.9823 c=4.3675 alpha=90.00 beta=90.00 gamma=158.37
Last column: nearest neighbours and their distance in Å.
Sites, in units of the cell vectors:
1 Cu 0.0512 0.9488 0.7500  8 In 2.79-3.12, 2 Cu 2.84
2 Cu 0.9488 0.0512 0.2500  8 In 2.79-3.12, 2 Cu 2.84
3 In 0.2999 0.7001 0.2500  8 In 3.10-3.37, 2 Cu 3.12
4 In 0.5757 0.4243 0.2500  6 Cu 2.79-2.80, 2 In 3.10
5 In 0.4243 0.5757 0.7500  6 Cu 2.79-2.80, 2 In 3.10
6 In 0.7001 0.2999 0.7500  8 In 3.10-3.37, 2 Cu 3.12



The following is a PBE calculation of a relaxed structure of In7Cu, from Alexandria.

Summary:
- space group = Fm-3m
- DFT formation energy (kJ per mole of atoms) = 12

Unit cell a=6.5783 b=6.5783 c=6.5783 alpha=60.00 beta=60.00 gamma=60.00
Last column: nearest neighbours and their distance in Å.
Sites, in units of the cell vectors:
1 In 0.0000 0.5000 0.5000  2 Cu 3.29, 10 In 3.29
2 In 0.5000 0.5000 0.0000  10 In 3.29, 2 Cu 3.29
3 In 0.0000 0.0000 0.5000  10 In 3.29, 2 Cu 3.29
4 In 0.0000 0.5000 0.0000  10 In 3.29, 2 Cu 3.29
5 In 0.5000 0.0000 0.0000  10 In 3.29, 2 Cu 3.29
6 In 0.5000 0.5000 0.5000  12 In 3.29
7 In 0.5000 0.0000 0.5000  10 In 3.29, 2 Cu 3.29
8 Cu 0.0000 0.0000 0.0000  12 In 3.29



The following is a PBE calculation of a relaxed structure of InCu, from Alexandria.

Summary:
- space group = Pmmn
- DFT formation energy (kJ per mole of atoms) = 13

Unit cell a=3.4380 b=3.8221 c=5.5568 alpha=90.00 beta=90.00 gamma=90.00
Last column: nearest neighbours and their distance in Å.
Sites, in units of the cell vectors:
1 Cu 0.5000 0.5000 0.7414  6 In 2.63-2.92
2 Cu 0.0000 0.0000 0.0086  6 In 2.63-2.92
3 In 0.0000 0.0000 0.5349  6 Cu 2.63-2.92
4 In 0.5000 0.5000 0.2151  6 Cu 2.63-2.92



The following is a PBE calculation of a relaxed structure of InCu, from Alexandria.

Summary:
- space group = P6_3mc
- DFT formation energy (kJ per mole of atoms) = 50

Unit cell a=4.2245 b=4.2245 c=6.9607 alpha=90.00 beta=90.00 gamma=120.00
Last column: nearest neighbours and their distance in Å.
Sites, in units of the cell vectors:
1 In 0.6667 0.3333 0.8728  4 Cu 2.59-2.61
2 In 0.3333 0.6667 0.3728  4 Cu 2.59-2.61
3 Cu 0.6667 0.3333 0.4982  4 In 2.59-2.61
4 Cu 0.3333 0.6667 0.9982  4 In 2.59-2.61



The following is a PBE calculation of a relaxed structure of In4Cu3, from Alexandria.

Summary:
- space group = P6/mmm
- DFT formation energy (kJ per mole of atoms) = 13

Unit cell a=5.3091 b=5.3091 c=5.5303 alpha=90.00 beta=90.00 gamma=120.00
Last column: nearest neighbours and their distance in Å.
Sites, in units of the cell vectors:
1 Cu 0.5000 0.0000 0.0000  4 Cu 2.65
2 Cu 0.0000 0.5000 0.0000  4 Cu 2.65
3 Cu 0.5000 0.5000 0.0000  4 Cu 2.65
4 In 0.0000 0.0000 0.2476  2 In 2.74-2.79, 6 Cu 2.99
5 In 0.3333 0.6667 0.5000  9 In 3.07-3.37, 6 Cu 3.16
6 In 0.0000 0.0000 0.7524  2 In 2.74-2.79, 6 Cu 2.99
7 In 0.6667 0.3333 0.5000  9 In 3.07-3.37, 6 Cu 3.16



| no. | size of the total moment (μB/cell) |
| --- | --- |
| 1 | 0.00 |
| 2 | 0.00 |
| 3 | 0.00 |
| 4 | 0.00 |
| 5 | 0.00 |
| 6 | 0.00 |
| 7 | 0.00 |
| 8 | 0.00 |
| 9 | 0.00 |
| 10 | 0.00 |
| 11 | 0.00 |
| 12 | 0.00 |